Entry 1:
A geometry-optimized TmAs structure. Source: OQMD, functional PBE.

a b c (Å): 4.0602 4.0602 4.0602
angles (deg): 60.00 60.00 60.00
Last column: nearest neighbours and their distance in Å.
Sites, in units of the cell vectors:
Tm (0.5000, 0.5000, 0.5000)  6 As 2.87
As (0.0000, 0.0000, 0.0000)  6 Tm 2.87

Properties
electronic total energy = -12.132 eV per cell
symmetry = No. 225

***

Entry 2:
A geometry-optimized KGaAuO structure. Source: OQMD, functional PBE.

a b c (Å): 7.9542 7.9542 6.6456
angles (deg): 96.75 96.75 31.08
Last column: nearest neighbours and their distance in Å.
Sites, in units of the cell vectors:
Ga (0.1654, 0.1654, 0.7453)  1 O 1.74
O (0.9055, 0.9055, 0.0687)  1 Ga 1.74
Ga (0.8346, 0.8346, 0.2547)  1 O 1.74
K (0.4117, 0.4117, 0.8425)  2 O 2.62
Au (0.2802, 0.2802, 0.3983)  2 Ga 2.52, 2 Au 2.74
Au (0.7198, 0.7198, 0.6017)  2 Ga 2.52, 2 Au 2.74
K (0.5883, 0.5883, 0.1575)  2 O 2.62
O (0.0945, 0.0945, 0.9313)  1 Ga 1.74

Properties
E above lowest polymorph = 0.000 eV/atom
symmetry = No. 12

***

Entry 3:
A geometry-optimized YCoHgAs structure. Source: OQMD, functional PBE.

a b c (Å): 4.8050 4.8050 4.8050
angles (deg): 60.00 60.00 60.00
Last column: nearest neighbours and their distance in Å.
Sites, in units of the cell vectors:
As (0.0000, 0.0000, 0.0000)  4 Co 2.94, 4 Y 2.94
Co (0.7500, 0.7500, 0.7500)  4 Hg 2.94, 4 As 2.94
Hg (0.5000, 0.5000, 0.5000)  4 Co 2.94, 4 Y 2.94
Y (0.2500, 0.2500, 0.2500)  4 Hg 2.94, 4 As 2.94

Properties
E above lowest polymorph = 0.000 eV/atom
symmetry = No. 216

***

Entry 4:
A geometry-optimized BaNdSn structure. Source: OQMD, functional PBE.

a b c (Å): 5.5119 5.5119 5.5119
angles (deg): 60.00 60.00 60.00
Last column: nearest neighbours and their distance in Å.
Sites, in units of the cell vectors:
Ba (0.0000, 0.0000, 0.0000)  4 Sn 3.38, 4 Nd 3.38
Nd (0.2500, 0.2500, 0.2500)  4 Ba 3.38
Sn (0.7500, 0.7500, 0.7500)  4 Ba 3.38

Properties
electronic total energy = -9.805 eV per cell
symmetry = No. 216

***

Entry 5:
A geometry-optimized YAlZn2H structure. Source: OQMD, functional PBE.

a b c (Å): 5.3715 5.3715 5.3715
angles (deg): 131.09 131.09 71.67
Last column: nearest neighbours and their distance in Å.
Sites, in units of the cell vectors:
H (0.5000, 0.5000, 0.0000)  4 Zn 2.43
Y (0.2500, 0.7500, 0.5000)  4 H 3.11, 4 Al 3.11, 10 Zn 3.16-3.37
Al (0.0000, 0.0000, 0.0000)  4 Zn 2.43
Zn (0.8877, 0.3877, 0.5000)  1 Zn 2.40, 2 H 2.43, 2 Al 2.43
Zn (0.6123, 0.1123, 0.5000)  1 Zn 2.40, 2 Al 2.43, 2 H 2.43

Properties
electronic total energy = -15.809 eV per cell
symmetry = No. 119

***

Entry 6:
A geometry-optimized Sc2CdNi2 structure. Source: OQMD, functional PBE.

a b c (Å): 7.2476 7.2476 7.2476
angles (deg): 137.43 137.43 61.78
Last column: nearest neighbours and their distance in Å.
Sites, in units of the cell vectors:
Sc (0.8750, 0.6250, 0.2500)  2 Ni 2.53, 2 Sc 2.63
Ni (0.9513, 0.4513, 0.5000)  3 Cd 2.50-2.70, 2 Sc 2.53
Ni (0.2013, 0.2013, 0.0000)  3 Cd 2.50-2.70, 2 Sc 2.53
Sc (0.3750, 0.6250, 0.2500)  2 Ni 2.53, 2 Sc 2.63
Ni (0.7987, 0.7987, 0.0000)  3 Cd 2.50-2.70, 2 Sc 2.53
Sc (0.3750, 0.1250, 0.7500)  2 Ni 2.53, 2 Sc 2.63
Cd (0.0000, 0.0000, 0.0000)  6 Ni 2.50-2.70
Ni (0.5487, 0.0487, 0.5000)  3 Cd 2.50-2.70, 2 Sc 2.53
Cd (0.7500, 0.2500, 0.5000)  6 Ni 2.50-2.70
Sc (0.3750, 0.6250, 0.7500)  2 Ni 2.53, 2 Sc 2.63

Properties
ΔE_f = -31.2 meV per atom
symmetry = No. 141

***

Entry 7:
A geometry-optimized ZnCoRePb structure. Source: OQMD, functional PBE.

a b c (Å): 4.5104 4.5104 4.5104
angles (deg): 60.00 60.00 60.00
Last column: nearest neighbours and their distance in Å.
Sites, in units of the cell vectors:
Co (0.7500, 0.7500, 0.7500)  4 Re 2.76, 4 Pb 2.76
Zn (0.2500, 0.2500, 0.2500)  4 Pb 2.76, 4 Re 2.76
Re (0.5000, 0.5000, 0.5000)  4 Co 2.76, 4 Zn 2.76
Pb (0.0000, 0.0000, 0.0000)  4 Co 2.76, 4 Zn 2.76

Properties
E above lowest polymorph = 0.065 eV/atom
symmetry = No. 216

***

Entry 8:
A geometry-optimized AgSeBr6 structure. Source: OQMD, functional PBE.

a b c (Å): 7.1816 7.1816 7.1816
angles (deg): 60.00 60.00 60.00
Last column: nearest neighbours and their distance in Å.
Sites, in units of the cell vectors:
Br (0.5026, 0.5026, 0.9974)  1 Se 2.57
Br (0.9974, 0.5026, 0.5026)  1 Se 2.57
Br (0.9974, 0.9974, 0.5026)  1 Se 2.57
Se (0.2500, 0.2500, 0.2500)  6 Br 2.57
Br (0.5026, 0.9974, 0.9974)  1 Se 2.57
Br (0.9974, 0.5026, 0.9974)  1 Se 2.57
Br (0.5026, 0.9974, 0.5026)  1 Se 2.57
Ag (0.0000, 0.0000, 0.0000)  12 Br 3.59

Properties
electronic total energy = -15.678 eV per cell
symmetry = No. 216

***

Please write out number 4 again, unchanged.
A geometry-optimized BaNdSn structure. Source: OQMD, functional PBE.

a b c (Å): 5.5119 5.5119 5.5119
angles (deg): 60.00 60.00 60.00
Last column: nearest neighbours and their distance in Å.
Sites, in units of the cell vectors:
Ba (0.0000, 0.0000, 0.0000)  4 Sn 3.38, 4 Nd 3.38
Nd (0.2500, 0.2500, 0.2500)  4 Ba 3.38
Sn (0.7500, 0.7500, 0.7500)  4 Ba 3.38

Properties
electronic total energy = -9.805 eV per cell
symmetry = No. 216